VASP calculation (PBE) on a relaxed AgBr4Cl crystal.

* density of states at the Fermi level: 10.0 states/eV/cell
* uncorrected formation energy: 0.3 kcal/mol of atoms
* SG: C2/c, No. 15

The structure in CIF format:
```
data_AgBr4Cl
_chemical_formula_sum 'Ag2 Br8 Cl2'
_space_group_name_H-M_alt 'P 1'
_space_group_IT_number 1
_cell_length_a 6.771
_cell_length_b 7.203
_cell_length_c 10.241
_cell_angle_alpha 104.01
_cell_angle_beta 102.36
_cell_angle_gamma 109.35
loop_
_space_group_symop_operation_xyz
'x,y,z'
loop_
_atom_site_label
_atom_site_type_symbol
_atom_site_fract_x
_atom_site_fract_y
_atom_site_fract_z
Ag1 Ag 0.803 0.053 0.107
Ag2 Ag 0.197 0.947 0.893
Br1 Br 0.268 0.042 0.656
Br2 Br 0.016 0.824 0.096
Br3 Br 0.112 0.387 0.344
Br4 Br 0.420 0.728 0.904
Br5 Br 0.732 0.958 0.344
Br6 Br 0.888 0.613 0.656
Br7 Br 0.984 0.176 0.904
Br8 Br 0.580 0.272 0.096
Cl1 Cl 0.409 0.659 0.319
Cl2 Cl 0.591 0.341 0.681
```

VASP calculation (PBE) on a relaxed Ag2Br4Cl crystal.

* density of states at the Fermi level: 13.0 states/eV/cell
* uncorrected formation energy: -4.6 kcal/mol of atoms
* SG: P-1, No. 2

The structure in CIF format:
```
data_Ag2Br4Cl
_chemical_formula_sum 'Ag4 Br8 Cl2'
_space_group_name_H-M_alt 'P 1'
_space_group_IT_number 1
_cell_length_a 9.192
_cell_length_b 8.280
_cell_length_c 8.133
_cell_angle_alpha 115.23
_cell_angle_beta 125.27
_cell_angle_gamma 86.87
loop_
_space_group_symop_operation_xyz
'x,y,z'
loop_
_atom_site_label
_atom_site_type_symbol
_atom_site_fract_x
_atom_site_fract_y
_atom_site_fract_z
Ag1 Ag 0.625 0.375 0.750
Ag2 Ag 0.625 0.875 0.250
Ag3 Ag 0.625 0.375 0.250
Ag4 Ag 0.125 0.375 0.750
Br1 Br 0.878 0.110 0.335
Br2 Br 0.372 0.640 0.166
Br3 Br 0.867 0.533 0.735
Br4 Br 0.078 0.110 0.973
Br5 Br 0.731 0.038 0.695
Br6 Br 0.383 0.217 0.765
Br7 Br 0.172 0.640 0.527
Br8 Br 0.519 0.712 0.806
Cl1 Cl 0.836 0.577 0.247
Cl2 Cl 0.414 0.173 0.253
```

VASP calculation (PBE) on a relaxed Ag6BrCl5 crystal.

* uncorrected formation energy: -9.2 kcal/mol of atoms
* SG: C2/m, No. 12

The structure in CIF format:
```
data_Ag6BrCl5
_chemical_formula_sum 'Ag6 Br1 Cl5'
_space_group_name_H-M_alt 'P 1'
_space_group_IT_number 1
_cell_length_a 6.907
_cell_length_b 6.907
_cell_length_c 6.912
_cell_angle_alpha 99.62
_cell_angle_beta 99.62
_cell_angle_gamma 119.93
loop_
_space_group_symop_operation_xyz
'x,y,z'
loop_
_atom_site_label
_atom_site_type_symbol
_atom_site_fract_x
_atom_site_fract_y
_atom_site_fract_z
Br1 Br 0.000 0.000 0.000
Ag1 Ag 0.425 0.084 0.252
Ag2 Ag 0.916 0.575 0.748
Ag3 Ag 0.255 0.255 0.746
Ag4 Ag 0.745 0.745 0.254
Ag5 Ag 0.084 0.425 0.252
Ag6 Ag 0.575 0.916 0.748
Cl1 Cl 0.833 0.167 0.500
Cl2 Cl 0.666 0.334 0.000
Cl3 Cl 0.500 0.500 0.500
Cl4 Cl 0.334 0.666 0.000
Cl5 Cl 0.167 0.833 0.500
```

VASP calculation (PBE) on a relaxed Ag2BrCl4 crystal.

* density of states at the Fermi level: 5.1 states/eV/cell
* uncorrected formation energy: -5.5 kcal/mol of atoms
* SG: P-1, No. 2

The structure in CIF format:
```
data_Ag2BrCl4
_chemical_formula_sum 'Ag2 Br1 Cl4'
_space_group_name_H-M_alt 'P 1'
_space_group_IT_number 1
_cell_length_a 4.233
_cell_length_b 4.237
_cell_length_c 14.692
_cell_angle_alpha 75.48
_cell_angle_beta 88.50
_cell_angle_gamma 53.43
loop_
_space_group_symop_operation_xyz
'x,y,z'
loop_
_atom_site_label
_atom_site_type_symbol
_atom_site_fract_x
_atom_site_fract_y
_atom_site_fract_z
Br1 Br 0.000 0.000 0.000
Ag1 Ag 0.516 0.771 0.867
Ag2 Ag 0.484 0.229 0.133
Cl1 Cl 0.127 0.539 0.786
Cl2 Cl 0.021 0.877 0.570
Cl3 Cl 0.873 0.461 0.214
Cl4 Cl 0.979 0.123 0.430
```

VASP calculation (PBE) on a relaxed Ag2BrCl2 crystal.

* density of states at the Fermi level: 4.6 states/eV/cell
* uncorrected formation energy: -8.2 kcal/mol of atoms
* SG: P-1, No. 2

The structure in CIF format:
```
data_Ag2BrCl2
_chemical_formula_sum 'Ag4 Br2 Cl4'
_space_group_name_H-M_alt 'P 1'
_space_group_IT_number 1
_cell_length_a 4.126
_cell_length_b 9.933
_cell_length_c 7.415
_cell_angle_alpha 102.06
_cell_angle_beta 64.45
_cell_angle_gamma 84.68
loop_
_space_group_symop_operation_xyz
'x,y,z'
loop_
_atom_site_label
_atom_site_type_symbol
_atom_site_fract_x
_atom_site_fract_y
_atom_site_fract_z
Ag1 Ag 0.345 0.829 0.011
Ag2 Ag 0.846 0.329 0.514
Ag3 Ag 0.655 0.171 0.989
Ag4 Ag 0.154 0.671 0.486
Br1 Br 0.751 0.749 0.249
Br2 Br 0.249 0.251 0.751
Cl1 Cl 0.409 0.410 0.271
Cl2 Cl 0.908 0.911 0.769
Cl3 Cl 0.092 0.089 0.231
Cl4 Cl 0.591 0.590 0.729
```

VASP calculation (PBE) on a relaxed AgBrCl2 crystal.

* density of states at the Fermi level: 1.5 states/eV/cell
* uncorrected formation energy: -3.0 kcal/mol of atoms
* SG: Pm, No. 6

The structure in CIF format:
```
data_AgBrCl2
_chemical_formula_sum 'Ag1 Br1 Cl2'
_space_group_name_H-M_alt 'P 1'
_space_group_IT_number 1
_cell_length_a 6.646
_cell_length_b 4.444
_cell_length_c 4.591
_cell_angle_alpha 61.85
_cell_angle_beta 90.00
_cell_angle_gamma 90.00
loop_
_space_group_symop_operation_xyz
'x,y,z'
loop_
_atom_site_label
_atom_site_type_symbol
_atom_site_fract_x
_atom_site_fract_y
_atom_site_fract_z
Br1 Br 0.500 0.670 0.661
Ag1 Ag 0.000 0.625 0.630
Cl1 Cl 0.000 0.956 0.980
Cl2 Cl 0.500 0.249 0.229
```

VASP calculation (PBE) on a relaxed AgBr4Cl crystal.

* density of states at the Fermi level: 7.5 states/eV/cell
* uncorrected formation energy: 12.3 kcal/mol of atoms
* SG: F-43m, No. 216

The structure in CIF format:
```
data_AgBr4Cl
_chemical_formula_sum 'Ag1 Br4 Cl1'
_space_group_name_H-M_alt 'P 1'
_space_group_IT_number 1
_cell_length_a 6.113
_cell_length_b 6.113
_cell_length_c 6.113
_cell_angle_alpha 60.00
_cell_angle_beta 60.00
_cell_angle_gamma 60.00
loop_
_space_group_symop_operation_xyz
'x,y,z'
loop_
_atom_site_label
_atom_site_type_symbol
_atom_site_fract_x
_atom_site_fract_y
_atom_site_fract_z
Ag1 Ag 0.000 0.000 0.000
Br1 Br 0.875 0.375 0.375
Br2 Br 0.375 0.375 0.875
Br3 Br 0.375 0.875 0.375
Br4 Br 0.375 0.375 0.375
Cl1 Cl 0.750 0.750 0.750
```

VASP calculation (PBE) on a relaxed Ag4Br2Cl5 crystal.

* density of states at the Fermi level: 5.9 states/eV/cell
* uncorrected formation energy: -7.2 kcal/mol of atoms
* SG: P-1, No. 2

The structure in CIF format:
```
data_Ag4Br2Cl5
_chemical_formula_sum 'Ag4 Br2 Cl5'
_space_group_name_H-M_alt 'P 1'
_space_group_IT_number 1
_cell_length_a 7.889
_cell_length_b 7.734
_cell_length_c 7.540
_cell_angle_alpha 96.86
_cell_angle_beta 109.07
_cell_angle_gamma 127.96
loop_
_space_group_symop_operation_xyz
'x,y,z'
loop_
_atom_site_label
_atom_site_type_symbol
_atom_site_fract_x
_atom_site_fract_y
_atom_site_fract_z
Ag1 Ag 0.349 0.098 0.612
Ag2 Ag 0.077 0.785 0.951
Ag3 Ag 0.651 0.902 0.388
Ag4 Ag 0.923 0.215 0.049
Br1 Br 0.636 0.560 0.901
Br2 Br 0.364 0.440 0.099
Cl1 Cl 0.939 0.819 0.634
Cl2 Cl 0.061 0.181 0.366
Cl3 Cl 0.795 0.233 0.715
Cl4 Cl 0.500 0.000 0.000
Cl5 Cl 0.205 0.767 0.285
```